Compound: SrTiAlCd2
Source: Alexandria via LeMat-Bulk
Functional: PBE
Structure: relaxed

As for the calculated volume: 204.11 Å³/cell. Its total magnetization is 3.03 μB per cell. The value obtained for the total energy is -1.604 eV/atom. The calculation puts the density of states at the Fermi level at 1.01 states/eV per atom.

abc: 5.9452 5.9452 5.7748
angles: 90.00 90.00 90.00
Space group P4/mmm (No. 123)
Symmetry-distinct sites (fractional):
Sr: 0.0000 0.0000 0.0000 (multiplicity 1)
Ti: 0.0000 0.0000 0.5000 (multiplicity 1)
Al: 0.5000 0.5000 0.5000 (multiplicity 1)
Cd: 0.0000 0.5000 0.0000 (multiplicity 2)

=====

Compound: Sr2AlTlCd
Source: Alexandria via LeMat-Bulk
Functional: PBE
Structure: relaxed

As for the calculated volume: 200.41 Å³/cell. Its total magnetization is 0.00 μB per cell. The value obtained for the total energy is -1.992 eV/atom. The calculation puts the density of states at the Fermi level at 0.68 states/eV per atom.

abc: 6.2647 6.2647 5.1065
angles: 90.00 90.00 90.00
Space group P4/mmm (No. 123)
Symmetry-distinct sites (fractional):
Sr: 0.0000 0.5000 0.0000 (multiplicity 2)
Al: 0.0000 0.0000 0.0000 (multiplicity 1)
Tl: 0.0000 0.0000 0.5000 (multiplicity 1)
Cd: 0.5000 0.5000 0.5000 (multiplicity 1)

=====

Compound: SrAlTlCd
Source: Alexandria via LeMat-Bulk
Functional: PBE
Structure: relaxed

As for the calculated volume: 425.88 Å³/cell. Its total magnetization is 0.00 μB per cell. The value obtained for the total energy is -2.297 eV/atom. The calculation puts the density of states at the Fermi level at 0.32 states/eV per atom.

abc: 7.5237 7.5237 7.5237
angles: 90.00 90.00 90.00
Space group F-43m (No. 216)
Symmetry-distinct sites (fractional):
Sr: 0.0000 0.0000 0.0000 (multiplicity 4)
Al: 0.0000 0.0000 0.5000 (multiplicity 4)
Tl: 0.2500 0.2500 0.2500 (multiplicity 4)
Cd: 0.2500 0.2500 0.7500 (multiplicity 4)